Model A:
Ac2Tb2Ho: relaxed, PBE-GGA.

Output
- Space-group type: No. 139
- Fermi-level density of states: 1.89 states/eV/atom

abc: 8.9417 8.9417 8.9417
angles: 148.17 148.17 45.63
Sites, in units of the cell vectors:
1 Ac 0.2500 0.7500 0.5000
2 Ac 0.7500 0.2500 0.5000
3 Tb 0.0916 0.0916 0.0000
4 Tb 0.9084 0.9084 0.0000
5 Ho 0.5000 0.5000 0.0000

***

Model B:
Ac2Tb2Ho: relaxed, PBE-GGA.

Output
- Space-group type: No. 15
- Fermi-level density of states: 1.67 states/eV/atom

abc: 8.8109 8.8109 7.0983
angles: 103.40 103.40 43.87
Sites, in units of the cell vectors:
1 Ac 0.1082 0.2845 0.1534
2 Ac 0.2845 0.1082 0.6534
3 Ac 0.7155 0.8918 0.3466
4 Ac 0.8918 0.7155 0.8466
5 Tb 0.3234 0.4902 0.5512
6 Tb 0.4902 0.3234 0.0512
7 Tb 0.5098 0.6766 0.9488
8 Tb 0.6766 0.5098 0.4488
9 Ho 0.0907 0.9093 0.2500
10 Ho 0.9093 0.0907 0.7500

***

If we sort the structures by their calculated energies, the order from most to least stable is model B, model A.